Here is Li2Co3O8 after structural relaxation from the Alexandria database. Energies are from GGA+U.

The calculation puts the volume at 10.26 Å³ per atom. Its total energy is -5.44 eV/atom. The symmetry is C2/m, No. 12. The calculation puts the density of states at the Fermi level at 0.225 states/eV/atom.

Cell: 6.019 6.019 4.845 Å, 110.19 110.19 55.63°
Sites, in units of the cell vectors:
Li 0.200 0.200 0.179
Li 0.800 0.800 0.821
Co 0.243 0.757 0.500
Co 0.500 0.500 0.000
Co 0.757 0.243 0.500
O 0.105 0.105 0.718
O 0.172 0.632 0.732
O 0.368 0.828 0.268
O 0.397 0.397 0.247
O 0.603 0.603 0.753
O 0.632 0.172 0.732
O 0.828 0.368 0.268
O 0.895 0.895 0.282